1.
VASP calculation (PBE) on a relaxed Ba4SiSeBr2 crystal.

## Properties
For the uncorrected formation energy, the calculation gives -1.477 eV per atom. Its crystal system is monoclinic.

abc: 8.3408 4.8182 8.4530
angles: 90.00 109.29 90.00
Closest atoms and distances in Å follow each position.
Space group P2/m (No. 10)
Unique sites:
Ba: 0.2334 0.0000 0.2219  2 Si 3.27, 1 Se 3.35, 3 Br 3.51-3.58
Ba: 0.2496 0.5000 0.7828  1 Si 3.20, 2 Se 3.32, 2 Br 3.54
Si: 0.0000 0.5000 0.0000  6 Ba 3.20-3.27
Se: 0.5000 0.0000 0.0000  6 Ba 3.32-3.35
Br: 0.0000 0.0000 0.5000  6 Ba 3.51-3.54
Br: 0.5000 0.5000 0.5000  6 Ba 3.58-3.66

=====

2.
VASP calculation (PBE) on a relaxed LiSc2Ag2O4 crystal.

## Properties
For the uncorrected formation energy, the calculation gives -2.133 eV per atom. Its crystal system is trigonal.

abc: 3.1638 3.1638 14.5301
angles: 90.00 90.00 120.00
Closest atoms and distances in Å follow each position.
Space group P3m1 (No. 156)
Unique sites:
Li: 0.0000 0.0000 0.0000  3 O 2.28
Sc: 0.0000 0.0000 0.1780  6 O 2.08-2.20
Sc: 0.0000 0.0000 0.6134  6 O 2.09-2.14
Ag: 0.3333 0.6667 0.8392  1 O 2.26
Ag: 0.6667 0.3333 0.3942  2 O 2.07-2.15
O: 0.3333 0.6667 0.0934  3 Sc 2.20, 3 Li 2.28
O: 0.3333 0.6667 0.6834  3 Sc 2.09, 1 Ag 2.26
O: 0.6667 0.3333 0.2465  3 Sc 2.08, 1 Ag 2.15
O: 0.6667 0.3333 0.5370  1 Ag 2.07, 3 Sc 2.14

=====

3.
VASP calculation (PBE) on a relaxed K4NdPa3O12 crystal.

## Properties
For the uncorrected formation energy, the calculation gives -2.832 eV per atom. Its crystal system is cubic.

abc: 8.8491 8.8491 8.8491
angles: 90.00 90.00 90.00
Closest atoms and distances in Å follow each position.
Space group Im-3m (No. 229)
Unique sites:
K: 0.2500 0.2500 0.2500  12 O 3.13
Nd: 0.0000 0.0000 0.0000  6 O 2.35
Pa: 0.0000 0.0000 0.5000  6 O 2.08-2.21
O: 0.0000 0.0000 0.2652  1 Pa 2.08
O: 0.0000 0.2500 0.5000  2 Pa 2.21

=====

4.
VASP calculation (PBE) on a relaxed MgHg2Bi2 crystal.

## Properties
Its formation energy is 72 meV per atom. Its crystal system is tetragonal.

abc: 7.7516 7.7516 4.5690
angles: 90.00 90.00 90.00
Closest atoms and distances in Å follow each position.
Space group P4/mbm (No. 127)
Unique sites:
Mg: 0.0000 0.0000 0.0000  4 Hg 2.99
Hg: 0.1400 0.3600 0.0000  2 Mg 2.99, 1 Hg 3.07, 6 Bi 3.11-3.31
Bi: 0.1679 0.6679 0.5000  6 Hg 3.11-3.31

=====

5.
VASP calculation (PBE) on a relaxed La6AlCu crystal.

## Properties
Its formation energy is -105 meV per atom. Its crystal system is tetragonal.

abc: 5.3621 5.3621 17.5655
angles: 90.00 90.00 90.00
Closest atoms and distances in Å follow each position.
Space group I4/mmm (No. 139)
Unique sites:
La: 0.0000 0.0000 0.2448  12 La 3.68-3.81
La: 0.0000 0.5000 0.1013  2 Al 3.22, 2 Cu 3.22, 1 La 3.56
Al: 0.0000 0.0000 0.0000  8 La 3.22
Cu: 0.0000 0.0000 0.5000  8 La 3.22

=====

6.
VASP calculation (PBE) on a relaxed La6SmY2Er crystal.

## Properties
Its formation energy is 195 meV per atom. Its crystal system is monoclinic.

abc: 11.4713 7.0906 9.0834
angles: 90.00 104.63 90.00
Closest atoms and distances in Å follow each position.
Space group C2/m (No. 12)
Unique sites:
La: 0.1345 0.0000 0.4293  5 La 3.63-3.87, 1 Er 3.81, 2 Sm 3.98
La: 0.1849 0.2787 0.8061  2 La 3.14-3.48, 1 Y 3.26, 1 Sm 3.42
Sm: 0.0000 0.5000 0.5000  2 Y 3.41, 4 La 3.42
Y: 0.0849 0.5000 0.1666  1 Y 3.16, 4 La 3.26-3.53, 1 Sm 3.41
Er: 0.0000 0.0000 0.0000  10 La 3.66-3.93, 4 Y 3.88

=====

Number 1: magnetization 0.00 μB per formula unit, D(E_F) 0.16 states/eV/atom. Number 2: magnetization 0.00 μB per formula unit, D(E_F) 0.04 states/eV/atom. Number 3: magnetization 0.00 μB per formula unit, D(E_F) 0.92 states/eV/atom. Number 4: magnetization 0.00 μB per formula unit, D(E_F) 0.48 states/eV/atom. Number 5: magnetization 0.00 μB per formula unit, D(E_F) 1.39 states/eV/atom. Number 6: magnetization 0.00 μB per formula unit, D(E_F) 1.89 states/eV/atom.